(1)
Density functional theory data (PBE) for Li3Pu5H12 after structural relaxation.

Cell and atoms, written as CIF:
```
data_Li3Pu5H12
_cell_length_a 12.543
_cell_length_b 12.543
_cell_length_c 12.543
_cell_angle_alpha 90.00
_cell_angle_beta 90.00
_cell_angle_gamma 90.00
_space_group_name_H-M_alt 'I a -3 d'
_space_group_IT_number 230
_space_group_name_Hall '-I 4bd 2c 3'
loop_
_atom_site_label
_atom_site_fract_x
_atom_site_fract_y
_atom_site_fract_z
_atom_site_occupancy
Li1 0.000 0.250 0.125 1
Pu1 0.000 0.000 0.000 1
Pu2 0.000 0.250 0.375 1
H1 0.014 0.088 0.652 1
```

Electronic total energy (eV per atom): -5.914

***

(2)
Density functional theory data (PBE) for LiPuH2 after structural relaxation.

Cell and atoms, written as CIF:
```
data_LiPuH2
_cell_length_a 2.965
_cell_length_b 2.965
_cell_length_c 6.079
_cell_angle_alpha 90.00
_cell_angle_beta 90.00
_cell_angle_gamma 90.00
_space_group_name_H-M_alt 'P 4/m m m'
_space_group_IT_number 123
_space_group_name_Hall '-P 4 2'
loop_
_atom_site_label
_atom_site_fract_x
_atom_site_fract_y
_atom_site_fract_z
_atom_site_occupancy
Li1 0.000 0.000 0.000 1
Pu1 0.000 0.000 0.500 1
H1 0.500 0.500 0.297 1
```

Offset from the most stable computed form (eV/f.u.): 0.64
Electronic total energy (eV per atom): -5.724

***

(3)
Density functional theory data (PBE) for LiPuH2 after structural relaxation.

Cell and atoms, written as CIF:
```
data_LiPuH2
_cell_length_a 3.5007
_cell_length_b 3.5007
_cell_length_c 16.9775
_cell_angle_alpha 90.00
_cell_angle_beta 90.00
_cell_angle_gamma 120.00
_space_group_name_H-M_alt 'R -3 m'
_space_group_IT_number 166
_space_group_name_Hall '-R 3 2"'
loop_
_atom_site_label
_atom_site_fract_x
_atom_site_fract_y
_atom_site_fract_z
_atom_site_occupancy
Li1 0.0000 0.0000 0.0000 1
Pu1 0.0000 0.0000 0.5000 1
H1 0.0000 0.0000 0.1078 1
```

Offset from the most stable computed form (eV/f.u.): 0.00
Electronic total energy (eV per atom): -5.884

***

(4)
Density functional theory data (PBE) for Li2Pu3H8 after structural relaxation.

Cell and atoms, written as CIF:
```
data_Li2Pu3H8
_cell_length_a 4.9242
_cell_length_b 4.9242
_cell_length_c 19.5941
_cell_angle_alpha 90.00
_cell_angle_beta 90.00
_cell_angle_gamma 120.00
_space_group_name_H-M_alt 'R -3 m'
_space_group_IT_number 166
_space_group_name_Hall '-R 3 2"'
loop_
_atom_site_label
_atom_site_fract_x
_atom_site_fract_y
_atom_site_fract_z
_atom_site_occupancy
Li1 0.0000 0.0000 0.0949 1
Pu1 0.0000 0.0000 0.2951 1
Pu2 0.0000 0.0000 0.5000 1
H1 0.0000 0.0000 0.1820 1
H2 0.0372 0.5186 0.2730 1
```

Electronic total energy (eV per atom): -5.917

***

(5)
Density functional theory data (PBE) for LiPuH4 after structural relaxation.

Cell and atoms, written as CIF:
```
data_LiPuH4
_cell_length_a 3.544
_cell_length_b 3.544
_cell_length_c 4.995
_cell_angle_alpha 90.00
_cell_angle_beta 90.00
_cell_angle_gamma 90.00
_space_group_name_H-M_alt 'P 4/m m m'
_space_group_IT_number 123
_space_group_name_Hall '-P 4 2'
loop_
_atom_site_label
_atom_site_fract_x
_atom_site_fract_y
_atom_site_fract_z
_atom_site_occupancy
Li1 0.000 0.000 0.000 1
Pu1 0.500 0.500 0.500 1
H1 0.000 0.500 0.240 1
```

Electronic total energy (eV per atom): -5.157

***

(6)
Density functional theory data (PBE) for LiPuH2 after structural relaxation.

Cell and atoms, written as CIF:
```
data_LiPuH2
_cell_length_a 6.259
_cell_length_b 5.740
_cell_length_c 4.541
_cell_angle_alpha 90.00
_cell_angle_beta 104.56
_cell_angle_gamma 90.00
_space_group_name_H-M_alt 'P 1 21/c 1'
_space_group_IT_number 14
loop_
_space_group_symop_operation_xyz
'x,y,z'
'-x,-y,-z'
'-x,y+1/2,-z+1/2'
'x,-y+1/2,z+1/2'
loop_
_atom_site_label
_atom_site_fract_x
_atom_site_fract_y
_atom_site_fract_z
_atom_site_occupancy
Li1 0.088 0.095 0.272 1
Pu1 0.439 0.681 0.395 1
H1 0.151 0.706 0.029 1
H2 0.208 0.096 0.908 1
```

Offset from the most stable computed form (eV/f.u.): 0.16
Electronic total energy (eV per atom): -5.844

***

(7)
Density functional theory data (PBE) for LiPu2H6 after structural relaxation.

Cell and atoms, written as CIF:
```
data_LiPu2H6
_cell_length_a 3.627
_cell_length_b 5.092
_cell_length_c 10.975
_cell_angle_alpha 90.00
_cell_angle_beta 90.00
_cell_angle_gamma 90.00
_space_group_name_H-M_alt 'I m m m'
_space_group_IT_number 71
_space_group_name_Hall '-I 2 2'
loop_
_atom_site_label
_atom_site_fract_x
_atom_site_fract_y
_atom_site_fract_z
_atom_site_occupancy
Li1 0.000 0.000 0.000 1
Pu1 0.000 0.000 0.338 1
H1 0.000 0.237 0.163 1
H2 0.000 0.256 0.500 1
```

Electronic total energy (eV per atom): -5.906

***

(8)
Density functional theory data (PBE) for Li5Pu3H12 after structural relaxation.

Cell and atoms, written as CIF:
```
data_Li5Pu3H12
_cell_length_a 12.024
_cell_length_b 12.024
_cell_length_c 12.024
_cell_angle_alpha 90.00
_cell_angle_beta 90.00
_cell_angle_gamma 90.00
_space_group_name_H-M_alt 'I a -3 d'
_space_group_IT_number 230
_space_group_name_Hall '-I 4bd 2c 3'
loop_
_atom_site_label
_atom_site_fract_x
_atom_site_fract_y
_atom_site_fract_z
_atom_site_occupancy
Li1 0.000 0.000 0.000 1
Li2 0.000 0.250 0.375 1
Pu1 0.000 0.250 0.125 1
H1 0.026 0.061 0.653 1
```

Electronic total energy (eV per atom): -4.941